# 1
Material: WAuSe2
Method: DFT, GGA-PBE
State: relaxed

Cell and atoms, written as POSCAR:
```
WAuSe2
1.0
-2.576 1.456 -1.046
-2.255 -0.041 5.495
1.782 3.698 0.759
Au Se W
1 2 1
Direct
0.000 0.500 0.500 Au
0.000 0.000 0.000 Se
0.500 0.500 0.000 Se
0.500 0.000 0.500 W
```

Summary:
**Formation energy (no corrections)**: 0.816 eV/atom
**SG**: Pmmm (47)
**Size of the total moment**: 0.00 Bohr magnetons per cell
**D(E_F)**: 3.37 states/eV per cell



# 2
Material: WAu2Se
Method: DFT, GGA-PBE
State: relaxed

Cell and atoms, written as POSCAR:
```
WAu2Se
1.0
2.992 0.000 0.000
0.000 2.992 0.000
0.000 0.000 8.597
Au Se W
2 1 1
Direct
0.000 0.000 0.974 Au
0.500 0.500 0.213 Au
0.000 0.000 0.568 Se
0.500 0.500 0.745 W
```

Summary:
**Formation energy (no corrections)**: 0.187 eV/atom
**SG**: P4mm (99)
**Size of the total moment**: 0.00 Bohr magnetons per cell
**D(E_F)**: 2.38 states/eV per cell